# 1
Density functional theory data (PBE) for a relaxed PmNd6Ga2 crystal.

Unit cell a=3.7907 b=6.7241 c=11.8022 alpha=76.38 beta=80.76 gamma=73.63
With the nearest neighbours (Å) after each atom.
Element x y z (fractional)
Pm (0.0000, 0.0000, 0.0000)  4 Ga 3.16
Nd (0.6907, 0.4929, 0.1257)  2 Ga 3.17, 3 Nd 3.43-3.47
Nd (0.3093, 0.5071, 0.8743)  2 Ga 3.17, 3 Nd 3.43-3.47
Nd (0.3110, 0.7873, 0.5906)  2 Ga 3.30, 4 Nd 3.43-3.64
Nd (0.9738, 0.7282, 0.3241)  2 Ga 3.14, 1 Nd 3.46
Nd (0.0262, 0.2718, 0.6759)  2 Ga 3.14, 1 Nd 3.46
Nd (0.6890, 0.2127, 0.4094)  2 Ga 3.30, 4 Nd 3.43-3.64
Ga (0.3529, 0.0939, 0.2002)  6 Nd 3.14-3.30, 2 Pm 3.16
Ga (0.6471, 0.9061, 0.7998)  6 Nd 3.14-3.30, 2 Pm 3.16

## Properties
Its symmetry is C2/m (12). The formation energy comes out at -0.232 eV per atom. The value obtained for the total energy is -4.6112 eV per atom. The volume is 279 Å³ per cell. The value obtained for the magnetization is 0.00 μB/cell.

***

# 2
Density functional theory data (PBE) for a relaxed Pm8Nd2Ga crystal.

Unit cell a=5.5912 b=7.5706 c=9.9335 alpha=112.37 beta=106.35 gamma=90.00
With the nearest neighbours (Å) after each atom.
Element x y z (fractional)
Pm (0.3698, 0.6049, 0.7395)  1 Ga 3.04
Pm (0.6304, 0.8655, 0.2608)  1 Ga 3.04
Pm (0.8190, 0.8192, 0.6380)  8 Pm 3.55-3.75, 4 Nd 3.58-3.79
Pm (0.0000, 0.2445, 0.9999)  2 Ga 3.35, 7 Pm 3.61-3.70
Pm (0.1810, 0.1808, 0.3620)  8 Pm 3.55-3.75, 4 Nd 3.58-3.79
Pm (0.3696, 0.1345, 0.7392)  1 Ga 3.04
Pm (0.6302, 0.3951, 0.2605)  1 Ga 3.04
Pm (0.0000, 0.7555, 0.0001)  2 Ga 3.35, 7 Pm 3.61-3.70
Nd (0.8086, 0.3089, 0.6172)  12 Pm 3.48-3.87
Nd (0.1914, 0.6911, 0.3828)  12 Pm 3.48-3.87
Ga (0.5000, 0.0000, 0.0000)  8 Pm 3.04-3.35

## Properties
Its symmetry is Immm (71). The formation energy comes out at -0.015 eV per atom. The value obtained for the total energy is -4.6116 eV per atom. The volume is 370 Å³ per cell. The value obtained for the magnetization is 0.00 μB/cell.

***

# 3
Density functional theory data (PBE) for a relaxed Pm7NdGa5 crystal.

Unit cell a=6.4932 b=8.0753 c=8.0753 alpha=77.32 beta=66.29 gamma=66.29
With the nearest neighbours (Å) after each atom.
Element x y z (fractional)
Pm (0.6302, 0.3698, 0.3698)  4 Ga 3.21, 2 Pm 3.36, 1 Nd 3.46
Pm (0.2894, 0.7106, 0.7106)  6 Ga 3.15-3.27
Pm (0.0007, 0.3309, 0.6678)  5 Ga 3.09-3.43, 1 Nd 3.39, 2 Pm 3.39-3.40
Pm (0.0007, 0.6678, 0.3309)  5 Ga 3.09-3.43, 1 Nd 3.39, 2 Pm 3.39-3.40
Pm (0.2721, 0.2279, 0.2279)  4 Ga 3.01, 2 Pm 3.30
Pm (0.5226, 0.7903, 0.1645)  5 Ga 3.09-3.35, 2 Pm 3.30-3.36
Pm (0.5226, 0.1645, 0.7903)  5 Ga 3.09-3.35, 2 Pm 3.30-3.36
Nd (0.9498, 0.0502, 0.0502)  6 Pm 3.39-3.77, 4 Ga 3.50
Ga (0.5350, 0.9937, 0.4784)  2 Ga 2.97-3.00, 5 Pm 3.01-3.21
Ga (0.9929, 0.9937, 0.4784)  2 Ga 2.97-3.00, 5 Pm 3.01-3.21
Ga (0.5350, 0.4784, 0.9937)  2 Ga 2.97-3.00, 5 Pm 3.01-3.21
Ga (0.9929, 0.4784, 0.9937)  2 Ga 2.97-3.00, 5 Pm 3.01-3.21
Ga (0.7561, 0.7439, 0.7439)  4 Ga 3.00, 6 Pm 3.14-3.27

## Properties
Its symmetry is Imm2 (44). The formation energy comes out at -0.346 eV per atom. The value obtained for the total energy is -4.4352 eV per atom. The volume is 354 Å³ per cell. The value obtained for the magnetization is 0.00 μB/cell.

***

# 4
Density functional theory data (PBE) for a relaxed PmPrNdGa crystal.

Unit cell a=5.4945 b=5.4945 c=5.4945 alpha=60.00 beta=60.00 gamma=60.00
With the nearest neighbours (Å) after each atom.
Element x y z (fractional)
Pr (0.0000, 0.0000, 0.0000)  4 Pm 3.36, 4 Ga 3.36
Nd (0.5000, 0.5000, 0.5000)  4 Pm 3.36, 4 Ga 3.36
Ga (0.2500, 0.2500, 0.2500)  4 Pr 3.36, 4 Nd 3.36
Pm (0.7500, 0.7500, 0.7500)  4 Nd 3.36, 4 Pr 3.36

## Properties
Its symmetry is F-43m (216). The formation energy comes out at -0.068 eV per atom. The value obtained for the total energy is -4.3993 eV per atom. The volume is 117 Å³ per cell. The value obtained for the magnetization is 0.88 μB/cell.